# SnS2F | Alexandria via LeMat-Bulk | PBE | optimized geometry
data_SnS2F
_space_group_name_H-M_alt 'R -3 m'
_space_group_IT_number 166
_space_group_name_Hall '-R 3 2"'
_cell_length_a 3.6599
_cell_length_b 3.6599
_cell_length_c 21.8714
_cell_angle_alpha 90.00
_cell_angle_beta 90.00
_cell_angle_gamma 120.00
loop_
_atom_site_label
_atom_site_type_symbol
_atom_site_fract_x
_atom_site_fract_y
_atom_site_fract_z
Sn1 Sn 0.0000 0.0000 0.0000
S1 S 0.0000 0.0000 0.4034
F1 F 0.0000 0.0000 0.5000
# Formation energy from raw total energies in meV/atom: -379
# Offset from the most stable computed form in meV per atom: 0.0
# Calculated total energy in eV for the cell shown: -46.93